Entry 1:
# GGA-PBE K2SrW, optimized geometry
data_K2SrW
_chemical_formula_sum 'K2 Sr1 W1'
_cell_length_a 7.327
_cell_length_b 7.327
_cell_length_c 3.713
_cell_angle_alpha 90.00
_cell_angle_beta 90.00
_cell_angle_gamma 123.47
_space_group_name_H-M_alt 'P 1'
_space_group_IT_number 1
loop_
_space_group_symop_operation_xyz
'x,y,z'
loop_
_atom_site_label
_atom_site_fract_x
_atom_site_fract_y
_atom_site_fract_z
_atom_site_occupancy
K1 0.000 0.500 0.000 1
K2 0.500 0.000 0.000 1
Sr1 0.000 0.000 0.500 1
W1 0.500 0.500 0.500 1
# DOS at the Fermi energy (states/eV/cell): 3.19
# ΔH_f (0 K) (meV per atom): 1527
# Energy above the lowest structure with this stoichiometry (meV per atom): 336
# Space-group type: Cmmm (65)


Entry 2:
# GGA-PBE K2SrW, optimized geometry
data_K2SrW
_chemical_formula_sum 'K2 Sr1 W1'
_cell_length_a 3.184
_cell_length_b 3.184
_cell_length_c 13.515
_cell_angle_alpha 90.00
_cell_angle_beta 90.00
_cell_angle_gamma 90.20
_space_group_name_H-M_alt 'P 1'
_space_group_IT_number 1
loop_
_space_group_symop_operation_xyz
'x,y,z'
loop_
_atom_site_label
_atom_site_fract_x
_atom_site_fract_y
_atom_site_fract_z
_atom_site_occupancy
K1 0.000 0.000 0.205 1
K2 0.000 0.000 0.795 1
Sr1 0.500 0.500 0.500 1
W1 0.500 0.500 0.000 1
# DOS at the Fermi energy (states/eV/cell): 5.56
# ΔH_f (0 K) (meV per atom): 1475
# Energy above the lowest structure with this stoichiometry (meV per atom): 284
# Space-group type: Cmmm (65)


Entry 3:
# GGA-PBE KSrW, optimized geometry
data_KSrW
_chemical_formula_sum 'K1 Sr1 W1'
_cell_length_a 3.229
_cell_length_b 3.229
_cell_length_c 9.572
_cell_angle_alpha 90.00
_cell_angle_beta 90.00
_cell_angle_gamma 120.00
_space_group_name_H-M_alt 'P 1'
_space_group_IT_number 1
loop_
_space_group_symop_operation_xyz
'x,y,z'
loop_
_atom_site_label
_atom_site_fract_x
_atom_site_fract_y
_atom_site_fract_z
_atom_site_occupancy
K1 0.000 0.000 0.000 1
Sr1 0.333 0.667 0.419 1
W1 0.667 0.333 0.690 1
# DOS at the Fermi energy (states/eV/cell): 3.81
# ΔH_f (0 K) (meV per atom): 1459
# Energy above the lowest structure with this stoichiometry (meV per atom): 80
# Space-group type: P3m1 (156)


Entry 4:
# GGA-PBE K2SrW, optimized geometry
data_K2SrW
_chemical_formula_sum 'K2 Sr1 W1'
_cell_length_a 3.320
_cell_length_b 3.320
_cell_length_c 13.316
_cell_angle_alpha 90.00
_cell_angle_beta 90.00
_cell_angle_gamma 90.00
_space_group_name_H-M_alt 'P 1'
_space_group_IT_number 1
loop_
_space_group_symop_operation_xyz
'x,y,z'
loop_
_atom_site_label
_atom_site_fract_x
_atom_site_fract_y
_atom_site_fract_z
_atom_site_occupancy
K1 0.000 0.000 0.000 1
K2 0.500 0.500 0.322 1
Sr1 0.000 0.000 0.622 1
W1 0.500 0.500 0.791 1
# DOS at the Fermi energy (states/eV/cell): 4.07
# ΔH_f (0 K) (meV per atom): 1191
# Energy above the lowest structure with this stoichiometry (meV per atom): 0
# Space-group type: P4mm (99)


Calculated mass density in order - 3.49, 4.24, 5.97, 3.96 g/cm³